The following is a PBE-GGA calculation of a relaxed Ba2InAg2H6 crystal, from the Alexandria database.

Spin magnetization   0.000 μB per formula unit

Unit cell a=5.952 b=5.952 c=7.610 alpha=113.54 beta=113.54 gamma=50.74
Element x y z (fractional)
Ba 0.192 0.192 0.209
Ba 0.808 0.808 0.791
In 0.000 0.000 0.500
Ag 0.477 0.477 0.689
Ag 0.523 0.523 0.311
H 0.159 0.699 0.149
H 0.288 0.288 0.629
H 0.301 0.841 0.851
H 0.699 0.159 0.149
H 0.712 0.712 0.371
H 0.841 0.301 0.851

---

The following is a PBE-GGA calculation of a relaxed MgCN2 crystal, from the Alexandria database.

Spin magnetization   0.000 μB per formula unit
E_form (uncorrected)   -622 meV/atom

Unit cell a=3.300 b=3.300 c=9.483 alpha=90.00 beta=90.00 gamma=120.00
Element x y z (fractional)
Mg 0.000 0.000 0.000
Mg 0.000 0.000 0.500
C 0.333 0.667 0.250
C 0.667 0.333 0.750
N 0.333 0.667 0.120
N 0.333 0.667 0.380
N 0.667 0.333 0.620
N 0.667 0.333 0.880

---

The following is a PBE-GGA calculation of a relaxed LaAl2Re crystal, from the Alexandria database.

Spin magnetization   0.000 μB per formula unit
ΔE to the lowest computed polymorph   503 meV/atom
Formation energy   0.331 eV/atom

Unit cell a=5.506 b=5.506 c=2.883 alpha=96.24 beta=96.24 gamma=115.32
Element x y z (fractional)
La 0.000 0.000 0.000
Al 0.000 0.500 0.500
Al 0.500 0.000 0.500
Re 0.500 0.500 0.000

---

The following is a PBE-GGA calculation of a relaxed Rb2RePdBr6 crystal, from the Alexandria database.

Spin magnetization   3.000 μB per formula unit
E_form (uncorrected)   -715 meV/atom

Unit cell a=7.581 b=7.581 c=7.581 alpha=119.88 beta=119.88 gamma=90.20
Element x y z (fractional)
Rb 0.250 0.750 0.500
Rb 0.750 0.250 0.500
Re 0.000 0.000 0.000
Pd 0.500 0.500 0.000
Br 0.240 0.240 0.481
Br 0.240 0.760 0.000
Br 0.241 0.241 0.000
Br 0.759 0.759 0.000
Br 0.760 0.240 0.000
Br 0.760 0.760 0.519

---

| no. | total DFT energy (no corrections) (hartree per atom) |
| --- | --- |
| 1 | -0.11389 |
| 2 | -0.27521 |
| 3 | -0.21624 |
| 4 | -0.13512 |